A relaxed structure of GaAgPd3, computed with PBE.

Geometry as CIF:
```
data_GaAgPd3
_cell_length_a 6.1987
_cell_length_b 6.1987
_cell_length_c 5.2646
_cell_angle_alpha 90.00
_cell_angle_beta 90.00
_cell_angle_gamma 120.00
_space_group_name_H-M_alt 'P 63/m m c'
_space_group_IT_number 194
_space_group_name_Hall '-P 6c 2c'
loop_
_atom_site_label
_atom_site_type_symbol
_atom_site_fract_x
_atom_site_fract_y
_atom_site_fract_z
_atom_site_occupancy
Ga1 Ga 0.0000 0.0000 0.0000 1
Ag1 Ag 0.3333 0.6667 0.2500 1
Pd1 Pd 0.1896 0.3793 0.7500 1
```

Calculated values
energy of formation from the pure elements	-0.0732	eV/atom
energy	-4.36	eV/atom
V	17.52	Å³ per atom
spin magnetization	0.0	μB/cell
ρ	9.417	g cm⁻³
energy relative to the lowest polymorph listed for this composition	0	meV per atom

A relaxed structure of Ba2Sm3S6, computed with PBE.

Geometry as CIF:
```
data_Ba2Sm3S6
_cell_length_a 7.144
_cell_length_b 12.359
_cell_length_c 7.682
_cell_angle_alpha 90.00
_cell_angle_beta 107.91
_cell_angle_gamma 90.00
_space_group_name_H-M_alt 'C 1 2/m 1'
_space_group_IT_number 12
loop_
_space_group_symop_operation_xyz
'x,y,z'
'-x,-y,-z'
'-x,y,-z'
'x,-y,z'
'x+1/2,y+1/2,z'
'-x+1/2,-y+1/2,-z'
'-x+1/2,y+1/2,-z'
'x+1/2,-y+1/2,z'
loop_
_atom_site_label
_atom_site_type_symbol
_atom_site_fract_x
_atom_site_fract_y
_atom_site_fract_z
_atom_site_occupancy
Ba1 Ba 0.000 0.167 0.000 1
Sm1 Sm 0.000 0.000 0.500 1
Sm2 Sm 0.000 0.336 0.500 1
S1 S 0.235 0.169 0.712 1
S2 S 0.242 0.500 0.715 1
```

Calculated values
energy	-5.95	eV/atom
V	29.34	Å³ per atom
E_form (uncorrected)	-2.065	eV/atom
spin magnetization	0.0	μB/cell
ρ	4.724	g cm⁻³

A relaxed structure of Ba2Mg2Tl, computed with PBE.

Geometry as CIF:
```
data_Ba2Mg2Tl
_cell_length_a 6.929
_cell_length_b 6.929
_cell_length_c 8.619
_cell_angle_alpha 90.00
_cell_angle_beta 90.00
_cell_angle_gamma 90.00
_space_group_name_H-M_alt 'I 4/m m m'
_space_group_IT_number 139
_space_group_name_Hall '-I 4 2'
loop_
_atom_site_label
_atom_site_type_symbol
_atom_site_fract_x
_atom_site_fract_y
_atom_site_fract_z
_atom_site_occupancy
Ba1 Ba 0.000 0.500 0.250 1
Mg1 Mg 0.000 0.000 0.162 1
Tl1 Tl 0.000 0.000 0.500 1
```

Calculated values
energy of formation from the pure elements	0.0661	eV/atom
energy	-1.81	eV/atom
V	41.38	Å³ per atom
spin magnetization	0.0	μB/cell
ρ	4.235	g cm⁻³
energy relative to the lowest polymorph listed for this composition	230	meV per atom

A relaxed structure of K2MgHg, computed with PBE.

Geometry as CIF:
```
data_K2MgHg
_cell_length_a 5.420
_cell_length_b 5.420
_cell_length_c 10.059
_cell_angle_alpha 90.00
_cell_angle_beta 90.00
_cell_angle_gamma 90.00
_space_group_name_H-M_alt 'I -4 m 2'
_space_group_IT_number 119
_space_group_name_Hall 'I -4 -2'
loop_
_atom_site_label
_atom_site_type_symbol
_atom_site_fract_x
_atom_site_fract_y
_atom_site_fract_z
_atom_site_occupancy
K1 K 0.000 0.000 0.000 1
K2 K 0.000 0.500 0.250 1
Mg1 Mg 0.000 0.000 0.500 1
Hg1 Hg 0.000 0.500 0.750 1
```

Calculated values
energy of formation from the pure elements	0.0317	eV/atom
energy	-0.99	eV/atom
V	36.93	Å³ per atom
spin magnetization	0.0	μB/cell
ρ	3.407	g cm⁻³
energy relative to the lowest polymorph listed for this composition	94	meV per atom

A relaxed structure of Ac5Sm4Ho2, computed with PBE.

Geometry as CIF:
```
data_Ac5Sm4Ho2
_cell_length_a 9.319
_cell_length_b 3.687
_cell_length_c 12.508
_cell_angle_alpha 90.00
_cell_angle_beta 92.67
_cell_angle_gamma 90.00
_space_group_name_H-M_alt 'P 1 2/m 1'
_space_group_IT_number 10
loop_
_space_group_symop_operation_xyz
'x,y,z'
'-x,-y,-z'
'-x,y,-z'
'x,-y,z'
loop_
_atom_site_label
_atom_site_type_symbol
_atom_site_fract_x
_atom_site_fract_y
_atom_site_fract_z
_atom_site_occupancy
Ac1 Ac 0.000 0.000 0.000 1
Ac2 Ac 0.199 0.000 0.524 1
Ac3 Ac 0.283 0.000 0.818 1
Sm1 Sm 0.079 0.500 0.266 1
Sm2 Sm 0.462 0.500 0.354 1
Ho1 Ho 0.347 0.000 0.122 1
```

Calculated values
energy of formation from the pure elements	0.1678	eV/atom
energy	-4.25	eV/atom
V	39.03	Å³ per atom
spin magnetization	0.0	μB/cell
ρ	7.993	g cm⁻³

A relaxed structure of HgH3Cl, computed with PBE.

Geometry as CIF:
```
data_HgH3Cl
_cell_length_a 3.861
_cell_length_b 3.861
_cell_length_c 3.861
_cell_angle_alpha 90.00
_cell_angle_beta 90.00
_cell_angle_gamma 90.00
_space_group_name_H-M_alt 'P m -3 m'
_space_group_IT_number 221
_space_group_name_Hall '-P 4 2 3'
loop_
_atom_site_label
_atom_site_type_symbol
_atom_site_fract_x
_atom_site_fract_y
_atom_site_fract_z
_atom_site_occupancy
Hg1 Hg 0.000 0.000 0.000 1
H1 H 0.000 0.000 0.500 1
Cl1 Cl 0.500 0.500 0.500 1
```

Calculated values
energy	-1.84	eV/atom
V	11.51	Å³ per atom
spin magnetization	0.0	μB/cell
ρ	6.895	g cm⁻³
energy relative to the lowest polymorph listed for this composition	0	meV per atom

A relaxed structure of KMnTe2, computed with PBE.

Geometry as CIF:
```
data_KMnTe2
_cell_length_a 7.727
_cell_length_b 7.727
_cell_length_c 9.049
_cell_angle_alpha 90.00
_cell_angle_beta 90.00
_cell_angle_gamma 90.00
_space_group_name_H-M_alt 'I -4 2 d'
_space_group_IT_number 122
_space_group_name_Hall 'I -4 2bw'
loop_
_atom_site_label
_atom_site_type_symbol
_atom_site_fract_x
_atom_site_fract_y
_atom_site_fract_z
_atom_site_occupancy
K1 K 0.000 0.000 0.000 1
Mn1 Mn 0.000 0.000 0.500 1
Te1 Te 0.137 0.250 0.625 1
```

Calculated values
energy	-4.32	eV/atom
V	33.77	Å³ per atom
E_form (uncorrected)	-0.187	eV/atom
spin magnetization	0.0	μB/cell
ρ	4.293	g cm⁻³

A relaxed structure of Be4AsBr, computed with PBE.

Geometry as CIF:
```
data_Be4AsBr
_cell_length_a 6.845
_cell_length_b 6.845
_cell_length_c 6.845
_cell_angle_alpha 90.00
_cell_angle_beta 90.00
_cell_angle_gamma 90.00
_space_group_name_H-M_alt 'F -4 3 m'
_space_group_IT_number 216
_space_group_name_Hall 'F -4 2 3'
loop_
_atom_site_label
_atom_site_type_symbol
_atom_site_fract_x
_atom_site_fract_y
_atom_site_fract_z
_atom_site_occupancy
Be1 Be 0.121 0.121 0.379 1
As1 As 0.250 0.250 0.750 1
Br1 Br 0.000 0.000 0.000 1
```

Calculated values
energy	-2.84	eV/atom
V	13.36	Å³ per atom
E_form (uncorrected)	0.703	eV/atom
spin magnetization	0.0	μB/cell
ρ	3.953	g cm⁻³

A relaxed structure of TaAlPtO6, computed with PBE.

Geometry as CIF:
```
data_TaAlPtO6
_cell_length_a 4.633
_cell_length_b 4.633
_cell_length_c 9.086
_cell_angle_alpha 90.00
_cell_angle_beta 90.00
_cell_angle_gamma 90.00
_space_group_name_H-M_alt 'P 42 n m'
_space_group_IT_number 102
loop_
_space_group_symop_operation_xyz
'x,y,z'
'-y+1/2,x+1/2,z+1/2'
'-x,-y,z'
'y+1/2,-x+1/2,z+1/2'
'-x+1/2,y+1/2,z+1/2'
'y,x,z'
'x+1/2,-y+1/2,z+1/2'
'-y,-x,z'
loop_
_atom_site_label
_atom_site_type_symbol
_atom_site_fract_x
_atom_site_fract_y
_atom_site_fract_z
_atom_site_occupancy
Ta1 Ta 0.000 0.000 0.000 1
Al1 Al 0.000 0.000 0.336 1
Pt1 Pt 0.000 0.000 0.671 1
O1 O 0.189 0.189 0.173 1
O2 O 0.191 0.191 0.495 1
O3 O 0.207 0.207 0.842 1
```

Calculated values
energy	-7.78	eV/atom
V	10.83	Å³ per atom
E_form (uncorrected)	-2.072	eV/atom
spin magnetization	0.0	μB/cell
ρ	8.499	g cm⁻³

A relaxed structure of BaP2PtCl, computed with PBE.

Geometry as CIF:
```
data_BaP2PtCl
_cell_length_a 4.570
_cell_length_b 4.570
_cell_length_c 6.456
_cell_angle_alpha 90.00
_cell_angle_beta 90.00
_cell_angle_gamma 90.00
_space_group_name_H-M_alt 'P 4/m m m'
_space_group_IT_number 123
_space_group_name_Hall '-P 4 2'
loop_
_atom_site_label
_atom_site_type_symbol
_atom_site_fract_x
_atom_site_fract_y
_atom_site_fract_z
_atom_site_occupancy
Ba1 Ba 0.000 0.000 0.000 1
P1 P 0.000 0.500 0.500 1
Pt1 Pt 0.500 0.500 0.500 1
Cl1 Cl 0.500 0.500 0.000 1
```

Calculated values
energy	-4.68	eV/atom
V	26.96	Å³ per atom
E_form (uncorrected)	-0.555	eV/atom
spin magnetization	0.0	μB/cell
ρ	5.294	g cm⁻³
energy relative to the lowest polymorph listed for this composition	0	meV per atom

A relaxed structure of BaSb3P, computed with PBE.

Geometry as CIF:
```
data_BaSb3P
_cell_length_a 6.349
_cell_length_b 6.349
_cell_length_c 6.349
_cell_angle_alpha 90.00
_cell_angle_beta 90.00
_cell_angle_gamma 90.00
_space_group_name_H-M_alt 'P m -3 m'
_space_group_IT_number 221
_space_group_name_Hall '-P 4 2 3'
loop_
_atom_site_label
_atom_site_type_symbol
_atom_site_fract_x
_atom_site_fract_y
_atom_site_fract_z
_atom_site_occupancy
Ba1 Ba 0.000 0.000 0.000 1
Sb1 Sb 0.000 0.000 0.500 1
P1 P 0.500 0.500 0.500 1
```

Calculated values
energy	-2.47	eV/atom
V	51.18	Å³ per atom
E_form (uncorrected)	1.471	eV/atom
spin magnetization	2.2	μB/cell
ρ	3.462	g cm⁻³
energy relative to the lowest polymorph listed for this composition	1557	meV per atom

A relaxed structure of Y2CdPt, computed with PBE.

Geometry as CIF:
```
data_Y2CdPt
_cell_length_a 8.009
_cell_length_b 8.009
_cell_length_c 6.752
_cell_angle_alpha 90.00
_cell_angle_beta 90.00
_cell_angle_gamma 90.00
_space_group_name_H-M_alt 'I -4 2 d'
_space_group_IT_number 122
_space_group_name_Hall 'I -4 2bw'
loop_
_atom_site_label
_atom_site_type_symbol
_atom_site_fract_x
_atom_site_fract_y
_atom_site_fract_z
_atom_site_occupancy
Y1 Y 0.207 0.250 0.125 1
Cd1 Cd 0.000 0.000 0.500 1
Pt1 Pt 0.000 0.000 0.000 1
```

Calculated values
energy of formation from the pure elements	-0.3996	eV/atom
energy	-5.37	eV/atom
V	27.07	Å³ per atom
spin magnetization	0.0	μB/cell
ρ	7.443	g cm⁻³